Computed, not measured: crystalline Li3Ti2P3O12 at its relaxed geometry at the PBE level of DFT.

```
Li3Ti2P3O12
1.0
8.508 0.000 0.000
0.000 8.859 0.000
-0.675 0.000 12.479
Li Ti P O
12 8 12 48
direct
0.000 0.000 0.000
0.000 0.000 0.500
0.000 0.101 0.250
0.000 0.899 0.750
0.246 0.189 0.938
0.246 0.811 0.438
0.500 0.397 0.250
0.500 0.500 0.000
0.500 0.500 0.500
0.500 0.603 0.750
0.754 0.189 0.562
0.754 0.811 0.062
0.212 0.495 0.355
0.212 0.505 0.855
0.286 0.005 0.645
0.286 0.995 0.145
0.714 0.005 0.855
0.714 0.995 0.355
0.788 0.495 0.145
0.788 0.505 0.645
0.000 0.201 0.750
0.000 0.799 0.250
0.159 0.356 0.104
0.159 0.644 0.604
0.342 0.141 0.394
0.342 0.859 0.894
0.500 0.299 0.750
0.500 0.701 0.250
0.658 0.141 0.106
0.658 0.859 0.606
0.841 0.356 0.396
0.841 0.644 0.896
0.008 0.418 0.393
0.008 0.582 0.893
0.063 0.094 0.662
0.063 0.906 0.162
0.129 0.295 0.810
0.129 0.705 0.310
0.143 0.180 0.089
0.143 0.820 0.589
0.252 0.096 0.288
0.252 0.904 0.788
0.253 0.409 0.008
0.253 0.591 0.508
0.255 0.051 0.481
0.255 0.399 0.208
0.255 0.601 0.708
0.255 0.949 0.981
0.340 0.313 0.414
0.340 0.687 0.914
0.376 0.199 0.691
0.376 0.801 0.191
0.432 0.405 0.836
0.432 0.595 0.336
0.483 0.097 0.108
0.483 0.903 0.608
0.517 0.097 0.392
0.517 0.903 0.892
0.568 0.405 0.664
0.568 0.595 0.164
0.624 0.199 0.809
0.624 0.801 0.309
0.660 0.313 0.086
0.660 0.687 0.586
0.745 0.051 0.019
0.745 0.399 0.292
0.745 0.601 0.792
0.745 0.949 0.519
0.747 0.409 0.492
0.747 0.591 0.992
0.748 0.096 0.212
0.748 0.904 0.712
0.857 0.180 0.411
0.857 0.820 0.911
0.871 0.295 0.690
0.871 0.705 0.190
0.937 0.094 0.838
0.937 0.906 0.338
0.992 0.418 0.107
0.992 0.582 0.607
```

Results
Total moment in μB/f.u.: 2.0
V in A^3/atom: 11.758
Formation energy from raw total energies in eV/atom: -2.4210